An optimized crystal structure of LiMgBi2Pb, computed with PBE.

Output
The value obtained for the density of states at the Fermi level is 0.567 states/eV per atom.

Cell: 5.6032 5.6032 5.0732 Å, 90.00 90.00 90.00°
Positions (direct):
1 Li 0.0000 0.0000 0.0000
2 Mg 0.0000 0.0000 0.5000
3 Bi 0.0000 0.5000 0.5000
4 Bi 0.5000 0.0000 0.5000
5 Pb 0.5000 0.5000 0.0000

An optimized crystal structure of LiMgBi2Pt, computed with PBE.

Output
The value obtained for the density of states at the Fermi level is 0.565 states/eV per atom.

Cell: 5.4557 5.4557 4.7046 Å, 90.00 90.00 90.00°
Positions (direct):
1 Li 0.0000 0.0000 0.0000
2 Mg 0.5000 0.5000 0.0000
3 Bi 0.0000 0.5000 0.5000
4 Bi 0.5000 0.0000 0.5000
5 Pt 0.0000 0.0000 0.5000

An optimized crystal structure of Li2PuMg2Bi2, computed with PBE.

Output
The value obtained for the density of states at the Fermi level is 1.965 states/eV per atom.

Cell: 8.9520 8.9520 8.9520 Å, 31.02 31.02 31.02°
Positions (direct):
1 Li 0.0658 0.0658 0.0658
2 Li 0.9342 0.9342 0.9342
3 Pu 0.5000 0.5000 0.5000
4 Mg 0.3608 0.3608 0.3608
5 Mg 0.6392 0.6392 0.6392
6 Bi 0.2354 0.2354 0.2354
7 Bi 0.7646 0.7646 0.7646

An optimized crystal structure of Rb2LiMgBi2, computed with PBE.

Output
The value obtained for the density of states at the Fermi level is 0.798 states/eV per atom.

Cell: 9.9610 9.9610 9.9610 Å, 137.77 61.35 137.64°
Positions (direct):
1 Rb 0.1703 0.2445 0.4148
2 Rb 0.3297 0.7445 0.0742
3 Rb 0.6703 0.2555 0.9258
4 Rb 0.8297 0.7555 0.5852
5 Li 0.2500 0.2500 0.0000
6 Li 0.7500 0.7500 0.0000
7 Mg 0.2500 0.7500 0.5000
8 Mg 0.7500 0.2500 0.5000
9 Bi 0.0935 0.7499 0.8434
10 Bi 0.4065 0.2499 0.6564
11 Bi 0.5935 0.7501 0.3436
12 Bi 0.9065 0.2501 0.1566

An optimized crystal structure of RbLiMgBi2, computed with PBE.

Output
The value obtained for the density of states at the Fermi level is 0.475 states/eV per atom.

Cell: 5.4119 5.4119 5.4468 Å, 90.00 90.00 90.00°
Positions (direct):
1 Rb 0.0000 0.0000 0.0000
2 Li 0.0000 0.0000 0.5000
3 Mg 0.5000 0.5000 0.0000
4 Bi 0.0000 0.5000 0.5000
5 Bi 0.5000 0.0000 0.5000

An optimized crystal structure of LiMgBiRu, computed with PBE.

Output
The value obtained for the density of states at the Fermi level is 0.807 states/eV per atom.

Cell: 6.5888 6.5888 6.5888 Å, 90.00 90.00 90.00°
Positions (direct):
1 Li 0.0000 0.0000 0.0000
2 Li 0.0000 0.5000 0.5000
3 Li 0.5000 0.0000 0.5000
4 Li 0.5000 0.5000 0.0000
5 Mg 0.2500 0.2500 0.7500
6 Mg 0.2500 0.7500 0.2500
7 Mg 0.7500 0.2500 0.2500
8 Mg 0.7500 0.7500 0.7500
9 Bi 0.2500 0.2500 0.2500
10 Bi 0.2500 0.7500 0.7500
11 Bi 0.7500 0.2500 0.7500
12 Bi 0.7500 0.7500 0.2500
13 Ru 0.0000 0.0000 0.5000
14 Ru 0.0000 0.5000 0.0000
15 Ru 0.5000 0.0000 0.0000
16 Ru 0.5000 0.5000 0.5000

An optimized crystal structure of Li2MgBi3S6, computed with PBE.

Output
The value obtained for the density of states at the Fermi level is 0.242 states/eV per atom. For the energy relative to the elements, uncorrected, the calculation gives -0.684 eV/atom.

Cell: 8.8173 8.8173 7.9291 Å, 100.82 100.82 26.01°
Positions (direct):
1 Li 0.1691 0.1691 0.3363
2 Li 0.8309 0.8309 0.6637
3 Mg 0.5000 0.5000 0.0000
4 Bi 0.1681 0.1681 0.8306
5 Bi 0.5000 0.5000 0.5000
6 Bi 0.8319 0.8319 0.1694
7 S 0.0005 0.0005 0.2252
8 S 0.3317 0.3317 0.4244
9 S 0.3390 0.3390 0.9133
10 S 0.6610 0.6610 0.0867
11 S 0.6683 0.6683 0.5756
12 S 0.9995 0.9995 0.7748

An optimized crystal structure of LiMgBiSe3, computed with PBE.

Output
For the energy relative to the elements, uncorrected, the calculation gives -0.788 eV/atom.

Cell: 8.1847 4.0823 8.6969 Å, 90.00 104.15 90.00°
Positions (direct):
1 Li 0.0910 0.2500 0.0779
2 Li 0.9090 0.7500 0.9221
3 Mg 0.3298 0.7500 0.3263
4 Mg 0.6702 0.2500 0.6737
5 Bi 0.1925 0.2500 0.7185
6 Bi 0.8075 0.7500 0.2815
7 Se 0.0959 0.2500 0.3690
8 Se 0.2331 0.7500 0.0101
9 Se 0.4251 0.7500 0.6447
10 Se 0.5749 0.2500 0.3553
11 Se 0.7669 0.2500 0.9899
12 Se 0.9041 0.7500 0.6310

An optimized crystal structure of Li2MgBi3Se6, computed with PBE.

Output
The value obtained for the density of states at the Fermi level is 0.218 states/eV per atom. For the energy relative to the elements, uncorrected, the calculation gives -0.671 eV/atom.

Cell: 9.2049 9.2049 8.2365 Å, 101.16 101.16 26.09°
Positions (direct):
1 Li 0.1686 0.1686 0.3328
2 Li 0.8314 0.8314 0.6672
3 Mg 0.5000 0.5000 0.0000
4 Bi 0.1680 0.1680 0.8301
5 Bi 0.5000 0.5000 0.5000
6 Bi 0.8320 0.8320 0.1699
7 Se 0.0017 0.0017 0.2301
8 Se 0.3313 0.3313 0.4246
9 Se 0.3382 0.3382 0.9119
10 Se 0.6618 0.6618 0.0881
11 Se 0.6687 0.6687 0.5754
12 Se 0.9983 0.9983 0.7699

An optimized crystal structure of LiMgSiBi2, computed with PBE.

Output
The value obtained for the density of states at the Fermi level is 0.799 states/eV per atom. For the energy relative to the elements, uncorrected, the calculation gives 0.501 eV/atom.

Cell: 5.1330 5.1330 4.8485 Å, 90.00 90.00 90.00°
Positions (direct):
1 Li 0.0000 0.0000 0.0000
2 Mg 0.0000 0.0000 0.5000
3 Si 0.5000 0.5000 0.5000
4 Bi 0.0000 0.5000 0.0000
5 Bi 0.5000 0.0000 0.0000

An optimized crystal structure of LiMgSnBi, computed with PBE.

Output
The value obtained for the density of states at the Fermi level is 0.336 states/eV per atom.

Cell: 7.3196 7.3196 7.3196 Å, 90.00 90.00 90.00°
Positions (direct):
1 Li 0.0000 0.0000 0.0000
2 Li 0.0000 0.5000 0.5000
3 Li 0.5000 0.0000 0.5000
4 Li 0.5000 0.5000 0.0000
5 Mg 0.0000 0.0000 0.5000
6 Mg 0.0000 0.5000 0.0000
7 Mg 0.5000 0.0000 0.0000
8 Mg 0.5000 0.5000 0.5000
9 Sn 0.2500 0.2500 0.7500
10 Sn 0.2500 0.7500 0.2500
11 Sn 0.7500 0.2500 0.2500
12 Sn 0.7500 0.7500 0.7500
13 Bi 0.2500 0.2500 0.2500
14 Bi 0.2500 0.7500 0.7500
15 Bi 0.7500 0.2500 0.7500
16 Bi 0.7500 0.7500 0.2500

An optimized crystal structure of Sr3Li2Mg2Bi4, computed with PBE.

Output
The value obtained for the density of states at the Fermi level is 0.003 states/eV per atom.

Cell: 4.8943 4.8943 16.6335 Å, 90.00 90.00 120.00°
Positions (direct):
1 Sr 0.0000 0.0000 0.0000
2 Sr 0.0000 0.0000 0.2607
3 Sr 0.0000 0.0000 0.7393
4 Li 0.3333 0.6667 0.1289
5 Li 0.6667 0.3333 0.8711
6 Mg 0.3333 0.6667 0.5613
7 Mg 0.6667 0.3333 0.4387
8 Bi 0.3333 0.6667 0.3807
9 Bi 0.3333 0.6667 0.8705
10 Bi 0.6667 0.3333 0.1295
11 Bi 0.6667 0.3333 0.6193

| no. | size of the total moment (μB per formula unit) | electronic total energy (eV per cell) |
| --- | --- | --- |
| 1 | 0.00 | -13.677 |
| 2 | 0.00 | -17.386 |
| 3 | 6.19 | -30.818 |
| 4 | 0.00 | -31.257 |
| 5 | 0.00 | -11.882 |
| 6 | 0.00 | -67.695 |
| 7 | 0.00 | -50.035 |
| 8 | 0.00 | -45.141 |
| 9 | 0.00 | -46.019 |
| 10 | 0.00 | -14.191 |
| 11 | 0.00 | -48.935 |
| 12 | 0.00 | -35.412 |